(1)
DFT (PBE) results for an optimized crystal structure of Zr4ScCu.

Summary:
Energy of formation (eV/atom): 0.095
V (Å³/cell): 252.6

a b c (Å): 4.9000 10.5514 4.8865
angles (deg): 90.00 90.00 90.00
Space group Amm2 (No. 38)
Inequivalent atoms, fractional coordinates:
Zr 0.0000 0.1538 0.0000 (multiplicity 4)
Zr 0.5000 0.1664 0.5051 (multiplicity 4)
Sc 0.5000 0.0000 0.0068 (multiplicity 2)
Cu 0.0000 0.0000 0.5004 (multiplicity 2)

***

(2)
DFT (PBE) results for an optimized crystal structure of CdIrOs2.

Summary:
Energy of formation (eV/atom): 0.768
V (Å³/cell): 251.6

a b c (Å): 6.3133 6.3133 6.3133
angles (deg): 90.00 90.00 90.00
Space group F-43m (No. 216)
Inequivalent atoms, fractional coordinates:
Cd 0.0000 0.0000 0.0000 (multiplicity 4)
Ir 0.2500 0.2500 0.2500 (multiplicity 4)
Os 0.0000 0.0000 0.5000 (multiplicity 4)
Os 0.2500 0.2500 0.7500 (multiplicity 4)

***

(3)
DFT (PBE) results for an optimized crystal structure of BaZnAgSb2.

Summary:
Total energy (eV per formula unit): -16.46
V (Å³/cell): 574.9

a b c (Å): 4.6161 17.9792 6.9265
angles (deg): 90.00 90.00 90.00
Space group Cmc2_1 (No. 36)
Inequivalent atoms, fractional coordinates:
Ba 0.0000 0.1448 0.0000 (multiplicity 4)
Zn 0.0000 0.3531 0.9036 (multiplicity 4)
Ag 0.0000 0.0514 0.5420 (multiplicity 4)
Sb 0.0000 0.2100 0.5106 (multiplicity 4)
Sb 0.0000 0.4973 0.7601 (multiplicity 4)

***

(4)
DFT (PBE) results for an optimized crystal structure of Co3PdPt4.

Summary:
Energy of formation (eV/atom): -0.067
V (Å³/cell): 224.2

a b c (Å): 7.6009 7.7151 3.8240
angles (deg): 90.00 90.00 90.00
Space group Cmmm (No. 65)
Inequivalent atoms, fractional coordinates:
Co 0.0000 0.0000 0.0000 (multiplicity 2)
Co 0.0000 0.2465 0.5000 (multiplicity 4)
Pd 0.0000 0.5000 0.0000 (multiplicity 2)
Pt 0.2369 0.0000 0.5000 (multiplicity 4)
Pt 0.2500 0.2500 0.0000 (multiplicity 4)

***

(5)
DFT (PBE) results for an optimized crystal structure of YCoAsPt.

Summary:
Total energy (eV per formula unit): -25.70
V (Å³/cell): 287.8

a b c (Å): 6.6021 6.6021 6.6021
angles (deg): 90.00 90.00 90.00
Space group F-43m (No. 216)
Inequivalent atoms, fractional coordinates:
Y 0.0000 0.0000 0.0000 (multiplicity 4)
Co 0.0000 0.0000 0.5000 (multiplicity 4)
As 0.2500 0.2500 0.2500 (multiplicity 4)
Pt 0.2500 0.2500 0.7500 (multiplicity 4)

***

(6)
DFT (PBE) results for an optimized crystal structure of BeAg2Pb.

Summary:
Total energy (eV per formula unit): -11.32
V (Å³/cell): 298.0

a b c (Å): 6.6798 6.6798 6.6798
angles (deg): 90.00 90.00 90.00
Space group F-43m (No. 216)
Inequivalent atoms, fractional coordinates:
Be 0.0000 0.0000 0.0000 (multiplicity 4)
Ag 0.0000 0.0000 0.5000 (multiplicity 4)
Ag 0.2500 0.2500 0.2500 (multiplicity 4)
Pb 0.2500 0.2500 0.7500 (multiplicity 4)